Entry 1:
This record from Alexandria describes crystalline YBeSi2 at its relaxed geometry. The functional is PBE-GGA.

Cell lengths 4.6446, 4.6849, 6.0890 Å; angles 90.00, 90.00, 90.00 degrees
Last column: nearest neighbours and their distance in Å.
Space group Cmm2 (No. 35)
Inequivalent atoms, fractional coordinates:
Y 0.0000 0.0000 0.0000 x2  6 Si 2.96-3.13, 4 Be 3.05-3.06, 4 Y 3.30
Be 0.0000 0.5000 0.3245 x2  1 Si 2.21
Si 0.0000 0.0000 0.4862 x2  4 Be 2.52-2.54, 4 Si 2.63-2.65
Si 0.0000 0.5000 0.6881 x2  1 Be 2.21

Values from the calculation:
- size of the total moment (Bohr magnetons per cell) = 0.401
- ΔE_f (raw) (meV/atom) = -45.5

***

Entry 2:
This record from Alexandria describes crystalline YBeSi at its relaxed geometry. The functional is PBE-GGA.

Cell lengths 3.1776, 3.1776, 10.2521 Å; angles 90.00, 90.00, 90.00 degrees
Last column: nearest neighbours and their distance in Å.
Space group I4mm (No. 107)
Inequivalent atoms, fractional coordinates:
Y 0.0000 0.0000 0.0000 x2  5 Si 3.00-3.09, 5 Be 3.03-3.09, 4 Y 3.18
Be 0.0000 0.0000 0.6986 x2  4 Si 2.45
Si 0.0000 0.0000 0.2931 x2  4 Be 2.45

Values from the calculation:
- size of the total moment (Bohr magnetons per cell) = 0.000
- ΔE_f (raw) (meV/atom) = -31.1

***

Entry 3:
This record from Alexandria describes crystalline Y4BeSi at its relaxed geometry. The functional is PBE-GGA.

Cell lengths 8.6364, 8.6364, 8.6364 Å; angles 90.00, 90.00, 90.00 degrees
Last column: nearest neighbours and their distance in Å.
Space group F-43m (No. 216)
Inequivalent atoms, fractional coordinates:
Y 0.1253 0.1253 0.1253 x16  6 Y 3.05-3.06
Be 0.2500 0.2500 0.7500 x4  12 Y 3.58, 4 Si 3.74
Si 0.0000 0.0000 0.5000 x4  12 Y 3.58, 4 Be 3.74

Values from the calculation:
- size of the total moment (Bohr magnetons per cell) = 0.000
- ΔE_f (raw) (meV/atom) = 787.3

***

Entry 4:
This record from Alexandria describes crystalline YBeSi at its relaxed geometry. The functional is PBE-GGA.

Cell lengths 6.1741, 6.1741, 6.1741 Å; angles 90.00, 90.00, 90.00 degrees
Last column: nearest neighbours and their distance in Å.
Space group F-43m (No. 216)
Inequivalent atoms, fractional coordinates:
Y 0.0000 0.0000 0.0000 x4  4 Si 2.67
Be 0.0000 0.0000 0.5000 x4  4 Si 2.67
Si 0.2500 0.2500 0.7500 x4  4 Y 2.67, 4 Be 2.67

Values from the calculation:
- size of the total moment (Bohr magnetons per cell) = 0.000
- ΔE_f (raw) (meV/atom) = -65.0

***

Entry 5:
This record from Alexandria describes crystalline YBeSi at its relaxed geometry. The functional is PBE-GGA.

Cell lengths 3.9421, 3.9421, 13.4900 Å; angles 90.00, 90.00, 90.00 degrees
Last column: nearest neighbours and their distance in Å.
Space group I4_1md (No. 109)
Inequivalent atoms, fractional coordinates:
Y 0.0000 0.0000 0.0000 x4  6 Si 2.99-3.01, 6 Be 2.99-3.00
Be 0.0000 0.0000 0.5830 x4  3 Si 2.25-2.27
Si 0.0000 0.0000 0.4165 x4  3 Be 2.25-2.27

Values from the calculation:
- size of the total moment (Bohr magnetons per cell) = 0.000
- ΔE_f (raw) (meV/atom) = -649.1

***

Entry 6:
This record from Alexandria describes crystalline YBe3Si3 at its relaxed geometry. The functional is PBE-GGA.

Cell lengths 6.1261, 6.1261, 6.1261 Å; angles 90.00, 90.00, 90.00 degrees
Last column: nearest neighbours and their distance in Å.
Space group Pm-3n (No. 223)
Inequivalent atoms, fractional coordinates:
Y 0.0000 0.0000 0.0000 x2  12 Be 3.42, 12 Si 3.42
Be 0.0000 0.2500 0.5000 x6  4 Si 2.17
Si 0.0000 0.5000 0.2500 x6  4 Be 2.17

Values from the calculation:
- size of the total moment (Bohr magnetons per cell) = 0.000
- ΔE_f (raw) (meV/atom) = 223.1

***

Entry 7:
This record from Alexandria describes crystalline YBeSi2 at its relaxed geometry. The functional is PBE-GGA.

Cell lengths 7.4274, 3.7125, 5.2789 Å; angles 90.00, 111.39, 90.00 degrees
Last column: nearest neighbours and their distance in Å.
Space group Cm (No. 8)
Inequivalent atoms, fractional coordinates:
Y 0.0000 0.0000 0.0000 x2  4 Be 2.90-3.14, 6 Si 2.96-3.06
Be 0.2609 0.5000 0.3827 x2  5 Si 2.31-2.36
Si 0.2088 0.0000 0.6176 x2  2 Be 2.34, 3 Si 2.41-2.59
Si 0.4525 0.0000 0.4154 x2  3 Be 2.31-2.36, 1 Si 2.41

Values from the calculation:
- size of the total moment (Bohr magnetons per cell) = 0.000
- ΔE_f (raw) (meV/atom) = -244.8

***

Entry 8:
This record from Alexandria describes crystalline YBeSi2 at its relaxed geometry. The functional is PBE-GGA.

Cell lengths 3.2270, 3.2270, 23.7741 Å; angles 90.00, 90.00, 120.00 degrees
Last column: nearest neighbours and their distance in Å.
Space group R-3m (No. 166, hexagonal axes)
Inequivalent atoms, fractional coordinates:
Y 0.0000 0.0000 0.0000 x3  6 Si 3.04, 6 Y 3.23
Be 0.0000 0.0000 0.5000 x3  6 Si 2.43
Si 0.0000 0.0000 0.2322 x6  3 Be 2.43

Values from the calculation:
- size of the total moment (Bohr magnetons per cell) = 0.001
- ΔE_f (raw) (meV/atom) = 272.5

***

Entry 9:
This record from Alexandria describes crystalline YBeSi2 at its relaxed geometry. The functional is PBE-GGA.

Cell lengths 3.9907, 4.0383, 4.5518 Å; angles 90.00, 90.00, 90.00 degrees
Last column: nearest neighbours and their distance in Å.
Space group Pm (No. 6)
Inequivalent atoms, fractional coordinates:
Y 0.0000 0.0000 0.0000 x1  8 Si 2.99-3.06, 4 Be 3.08
Be 0.4990 0.5000 0.7370 x1  4 Si 2.17-2.38
Si 0.4998 0.5000 0.2148 x1  2 Be 2.17-2.38, 2 Si 2.42
Si 0.5015 0.0000 0.5089 x1  2 Be 2.27, 2 Si 2.42

Values from the calculation:
- size of the total moment (Bohr magnetons per cell) = 0.000
- ΔE_f (raw) (meV/atom) = -147.9

***

Entry 10:
This record from Alexandria describes crystalline YBeSi at its relaxed geometry. The functional is PBE-GGA.

Cell lengths 3.9047, 3.9047, 24.5022 Å; angles 90.00, 90.00, 120.00 degrees
Last column: nearest neighbours and their distance in Å.
Space group R3m (No. 160, hexagonal axes)
Inequivalent atoms, fractional coordinates:
Y 0.0000 0.0000 0.0000 x3  1 Be 2.69, 3 Si 2.95
Y 0.0000 0.0000 0.1618 x3  6 Be 2.72-2.91
Be 0.0000 0.0000 0.7536 x3  3 Si 2.27
Be 0.0000 0.0000 0.8903 x3  3 Si 2.32
Si 0.0000 0.0000 0.4112 x3  3 Be 2.27
Si 0.0000 0.0000 0.5797 x3  3 Be 2.32

Values from the calculation:
- size of the total moment (Bohr magnetons per cell) = 0.000
- ΔE_f (raw) (meV/atom) = -537.2

***

Entry 11:
This record from Alexandria describes crystalline YBeSi2 at its relaxed geometry. The functional is PBE-GGA.

Cell lengths 7.1585, 3.8345, 5.3216 Å; angles 90.00, 113.57, 90.00 degrees
Last column: nearest neighbours and their distance in Å.
Space group C2/m (No. 12)
Inequivalent atoms, fractional coordinates:
Y 0.0000 0.0000 0.0000 x2  8 Si 2.95-3.03, 4 Be 3.28
Be 0.0000 0.5000 0.5000 x2  6 Si 2.36-2.40
Si 0.2099 0.0000 0.6198 x4  3 Be 2.36-2.40, 2 Si 2.49

Values from the calculation:
- size of the total moment (Bohr magnetons per cell) = 0.000
- ΔE_f (raw) (meV/atom) = -301.8

***

Entry 12:
This record from Alexandria describes crystalline YBeSi at its relaxed geometry. The functional is PBE-GGA.

Cell lengths 4.0876, 5.2396, 10.1734 Å; angles 90.00, 90.00, 90.00 degrees
Last column: nearest neighbours and their distance in Å.
Space group Fmm2 (No. 42)
Inequivalent atoms, fractional coordinates:
Y 0.0000 0.0000 0.0000 x4  3 Be 2.90-3.03, 3 Si 2.92-3.00
Be 0.0000 0.0000 0.2977 x4  2 Si 2.25
Si 0.0000 0.0000 0.7052 x4  2 Be 2.25

Values from the calculation:
- size of the total moment (Bohr magnetons per cell) = 0.000
- ΔE_f (raw) (meV/atom) = -66.8

***

Number 1: DOS(E_F) 2.7 states/eV/f.u.. Number 2: DOS(E_F) 1.8 states/eV/f.u.. Number 3: DOS(E_F) 6.1 states/eV/f.u.. Number 4: DOS(E_F) 1.2 states/eV/f.u.. Number 5: DOS(E_F) 1.2 states/eV/f.u.. Number 6: DOS(E_F) 2.2 states/eV/f.u.. Number 7: DOS(E_F) 0.9 states/eV/f.u.. Number 8: DOS(E_F) 3.2 states/eV/f.u.. Number 9: DOS(E_F) 1.5 states/eV/f.u.. Number 10: DOS(E_F) 0.5 states/eV/f.u.. Number 11: DOS(E_F) 1.5 states/eV/f.u.. Number 12: DOS(E_F) 1.9 states/eV/f.u..